No. 1
Density functional theory data (PBE) for crystalline AlHg2IrPd at its relaxed geometry.

Summary:
**Energy of formation from the pure elements**: 381 kJ/mol of formula units
**Space group**: P4/mmm, No. 123

Cell and atoms, written as POSCAR:
```
AlHg2IrPd
1.0
5.214 0.000 0.000
0.000 4.923 0.000
0.000 0.000 5.214
Ir Hg Pd Al
1 2 1 1
Direct
0.000 0.000 0.000 Ir
0.000 0.000 0.500 Hg
0.500 0.000 0.000 Hg
0.000 0.500 0.000 Pd
0.500 0.500 0.500 Al
```

***

No. 2
Density functional theory data (PBE) for crystalline Zr2Pd5Au2 at its relaxed geometry.

Summary:
**Energy of formation from the pure elements**: -270 kJ/mol of formula units
**Space group**: Ima2, No. 46

Cell and atoms, written as POSCAR:
```
Zr2Pd5Au2
1.0
7.250 0.000 0.000
0.000 6.639 0.000
-3.625 -3.319 6.966
Zr Pd Au
4 10 4
Direct
0.101 0.778 0.259 Zr
0.899 0.520 0.741 Zr
0.657 0.278 0.259 Zr
0.343 0.020 0.741 Zr
0.283 0.771 0.904 Pd
0.717 0.868 0.096 Pd
0.120 0.271 0.904 Pd
0.880 0.368 0.096 Pd
0.473 0.957 0.295 Pd
0.527 0.662 0.705 Pd
0.322 0.457 0.295 Pd
0.678 0.162 0.705 Pd
0.078 0.578 0.500 Pd
0.922 0.078 0.500 Pd
0.000 0.970 0.000 Au
0.500 0.470 0.000 Au
0.282 0.231 0.500 Au
0.718 0.731 0.500 Au
```

***

No. 3
Density functional theory data (PBE) for crystalline LaTlIn2 at its relaxed geometry.

Summary:
**Energy of formation from the pure elements**: -169 kJ/mol of formula units
**Space group**: P4/mmm, No. 123

Cell and atoms, written as POSCAR:
```
LaTlIn2
1.0
-2.934 -3.426 1.678
3.806 -2.771 0.998
0.257 1.948 4.428
Tl In La
1 2 1
Direct
0.000 0.500 0.500 Tl
0.000 0.000 0.000 In
0.500 0.500 0.000 In
0.500 0.000 0.500 La
```

***

No. 4
Density functional theory data (PBE) for crystalline Nb3BiBr at its relaxed geometry.

Summary:
**Energy relative to the lowest polymorph listed for this composition**: 0.978 eV per atom
**Space group**: Pm-3m, No. 221
**Uncorrected formation energy**: 1.97 eV per atom

Cell and atoms, written as POSCAR:
```
Nb3BiBr
1.0
5.260 0.000 0.000
0.000 5.260 0.000
0.000 0.000 5.260
Nb Bi Br
3 1 1
Direct
0.000 0.500 0.000 Nb
0.000 0.000 0.500 Nb
0.500 0.000 0.000 Nb
0.000 0.000 0.000 Bi
0.500 0.500 0.500 Br
```